# CdPb2F2

Crystalline CdPb2F2 at its relaxed geometry (PBE, the Alexandria database).

Cell: 8.4738 8.4738 3.2603 Å, 90.00 90.00 90.00°
With the nearest neighbours (Å) after each atom.
Element x y z (fractional)
Cd: 0.0000 0.0000 0.0000  4 Pb 3.04, 2 Cd 3.26
Cd: 0.5000 0.5000 0.0000  4 Pb 3.04, 2 Cd 3.26
Pb: 0.2084 0.2916 0.0000  2 F 2.44
Pb: 0.2916 0.7916 0.0000  2 F 2.44
Pb: 0.7084 0.2084 0.0000  2 F 2.44
Pb: 0.7916 0.7084 0.0000  2 F 2.44
F: 0.1396 0.6396 0.5000  2 Pb 2.44
F: 0.3604 0.1396 0.5000  2 Pb 2.44
F: 0.6396 0.8604 0.5000  2 Pb 2.44
F: 0.8604 0.3604 0.5000  2 Pb 2.44

Values from the calculation:
Final energy = -17.36 eV/f.u.
SG = P4/mbm
DOS at the Fermi energy = 3.46 states/eV per cell

# InSb2N2

Crystalline InSb2N2 at its relaxed geometry (PBE, the Alexandria database).

Cell: 8.0210 8.0210 3.3025 Å, 90.00 90.00 90.00°
With the nearest neighbours (Å) after each atom.
Element x y z (fractional)
In: 0.0000 0.0000 0.0000  4 N 2.85
In: 0.5000 0.5000 0.0000  4 N 2.85
Sb: 0.1620 0.3380 0.5000  2 N 2.08
Sb: 0.3380 0.8380 0.5000  2 N 2.08
Sb: 0.6620 0.1620 0.5000  2 N 2.08
Sb: 0.8380 0.6620 0.5000  2 N 2.08
N: 0.2263 0.7263 0.0000  2 Sb 2.08
N: 0.2737 0.2263 0.0000  2 Sb 2.08
N: 0.7263 0.7737 0.0000  2 Sb 2.08
N: 0.7737 0.2737 0.0000  2 Sb 2.08

Values from the calculation:
Final energy = -23.86 eV/f.u.
SG = P4/mbm
DOS at the Fermi energy = 3.29 states/eV per cell